<one>
Ge2Sb2Pb: relaxed, PBE.

The space group is P4/mbm (No. 127) and the conventional cell measures 8.2539, 8.2539 and 3.7341 Å, with angles of 90.00, 90.00 and 90.00 degrees. The inequivalent atoms are Ge at (0.1321, 0.3679, 0.0000), Sb at (0.1563, 0.6563, 0.5000) and Pb at (0.0000, 0.0000, 0.0000).

The calculation puts the density of states at the Fermi level at 2.71 states/eV/f.u.

***

<two>
Ge2Sb2Pb: relaxed, PBE.

The space group is I4/mmm (No. 139) and the conventional cell measures 4.0975, 4.0975 and 15.8215 Å, with angles of 90.00, 90.00 and 90.00 degrees. The inequivalent atoms are Ge at (0.0000, 0.5000, 0.2500), Sb at (0.0000, 0.0000, 0.1071) and Pb at (0.0000, 0.0000, 0.5000).

The calculation puts the density of states at the Fermi level at 2.22 states/eV/f.u.

***

<three>
Ge2Sb2Pb: relaxed, PBE.

The space group is I4/mmm (No. 139) and the conventional cell measures 4.4465, 4.4465 and 13.7339 Å, with angles of 90.00, 90.00 and 90.00 degrees. The inequivalent atoms are Ge at (0.0000, 0.0000, 0.0955), Sb at (0.0000, 0.5000, 0.2500) and Pb at (0.0000, 0.0000, 0.5000).

The calculation puts the density of states at the Fermi level at 2.83 states/eV/f.u.

***

What are the relative energies? In meV per atom: <one> 13; <two> 0; <three> 94.

***

<one>
GeSb3Pb: relaxed, PBE.

The space group is Pm-3m (No. 221) and the conventional cell measures 5.7322, 5.7322 and 5.7322 Å, with angles of 90.00, 90.00 and 90.00 degrees. The inequivalent atoms are Ge at (0.0000, 0.0000, 0.0000), Sb at (0.0000, 0.5000, 0.5000) and Pb at (0.5000, 0.5000, 0.5000).

The calculation puts the density of states at the Fermi level at 7.78 states/eV/f.u.

***

<two>
GeSb3Pb: relaxed, PBE.

The space group is Pm-3m (No. 221) and the conventional cell measures 5.3970, 5.3970 and 5.3970 Å, with angles of 90.00, 90.00 and 90.00 degrees. The inequivalent atoms are Ge at (0.0000, 0.0000, 0.0000), Sb at (0.0000, 0.0000, 0.5000) and Pb at (0.5000, 0.5000, 0.5000).

The calculation puts the density of states at the Fermi level at 5.46 states/eV/f.u.

***

What are the relative energies? In meV per atom: <one> 621; <two> 0.

***

<one>
ScGe3Pb: relaxed, PBE.

The space group is Pm-3m (No. 221) and the conventional cell measures 5.3426, 5.3426 and 5.3426 Å, with angles of 90.00, 90.00 and 90.00 degrees. The inequivalent atoms are Sc at (0.0000, 0.0000, 0.0000), Ge at (0.0000, 0.5000, 0.5000) and Pb at (0.5000, 0.5000, 0.5000).

The calculation puts the density of states at the Fermi level at 3.35 states/eV/f.u.

***

<two>
ScGe3Pb: relaxed, PBE.

The space group is Pm-3m (No. 221) and the conventional cell measures 5.1455, 5.1455 and 5.1455 Å, with angles of 90.00, 90.00 and 90.00 degrees. The inequivalent atoms are Sc at (0.0000, 0.0000, 0.0000), Ge at (0.0000, 0.0000, 0.5000) and Pb at (0.5000, 0.5000, 0.5000).

The calculation puts the density of states at the Fermi level at 2.09 states/eV/f.u.

***

What are the relative energies? In meV per atom: <one> 632; <two> 0.

***

<one>
Ge2PbSe: relaxed, PBE.

The space group is I-42d (No. 122) and the conventional cell measures 6.0049, 6.0049 and 14.0525 Å, with angles of 90.00, 90.00 and 90.00 degrees. The inequivalent atoms are Ge at (0.2233, 0.2500, 0.1250), Pb at (0.0000, 0.0000, 0.5000) and Se at (0.0000, 0.0000, 0.0000).

The calculation puts the density of states at the Fermi level at 2.33 states/eV/f.u.

***

<two>
Ge2PbSe: relaxed, PBE.

The space group is Fm-3m (No. 225) and the conventional cell measures 7.1675, 7.1675 and 7.1675 Å, with angles of 90.00, 90.00 and 90.00 degrees. The inequivalent atoms are Ge at (0.2500, 0.2500, 0.2500), Pb at (0.0000, 0.0000, 0.0000) and Se at (0.0000, 0.0000, 0.5000).

The calculation puts the density of states at the Fermi level at 3.01 states/eV/f.u.

***

What are the relative energies? In meV per atom: <one> 0; <two> 43.

***

<one>
GePb2Se4: relaxed, PBE.

The space group is I-42m (No. 121) and the conventional cell measures 7.1712, 7.1712 and 10.3321 Å, with angles of 90.00, 90.00 and 90.00 degrees. The inequivalent atoms are Ge at (0.0000, 0.0000, 0.0000), Pb at (0.0000, 0.5000, 0.2500) and Se at (0.2122, 0.2122, 0.1010).

***

<two>
GePb2Se4: relaxed, PBE.

The space group is Fmm2 (No. 42) and the conventional cell measures 10.3757, 10.5032 and 7.8631 Å, with angles of 90.00, 90.00 and 90.00 degrees. The inequivalent atoms are Ge at (0.0000, 0.0000, 0.0000), Pb at (0.2500, 0.2500, 0.0058), Se at (0.0000, 0.1871, 0.8227) and Se at (0.1879, 0.0000, 0.1791).

***

What are the relative energies? In meV per atom: <one> 38; <two> 0.

***

<one>
Ge2Pb2Se: relaxed, PBE.

The space group is P4/mbm (No. 127) and the conventional cell measures 7.6486, 7.6486 and 4.4112 Å, with angles of 90.00, 90.00 and 90.00 degrees. The inequivalent atoms are Ge at (0.1240, 0.3760, 0.0000), Pb at (0.1871, 0.6871, 0.5000) and Se at (0.0000, 0.0000, 0.0000).

The calculation puts the density of states at the Fermi level at 2.08 states/eV/f.u.

***

<two>
Ge2Pb2Se: relaxed, PBE.

The space group is I4/mmm (No. 139) and the conventional cell measures 3.8277, 3.8277 and 17.7151 Å, with angles of 90.00, 90.00 and 90.00 degrees. The inequivalent atoms are Ge at (0.0000, 0.5000, 0.2500), Pb at (0.0000, 0.0000, 0.1002) and Se at (0.0000, 0.0000, 0.5000).

The calculation puts the density of states at the Fermi level at 1.88 states/eV/f.u.

***

What are the relative energies? In meV per atom: <one> 149; <two> 0.

***

<one>
Ge2PbSe2: relaxed, PBE.

The space group is P4/mbm (No. 127) and the conventional cell measures 8.4373, 8.4373 and 3.7197 Å, with angles of 90.00, 90.00 and 90.00 degrees. The inequivalent atoms are Ge at (0.1953, 0.3047, 0.0000), Pb at (0.0000, 0.0000, 0.5000) and Se at (0.1568, 0.6568, 0.5000).

The calculation puts the density of states at the Fermi level at 2.64 states/eV/f.u.

***

<two>
Ge2PbSe2: relaxed, PBE.

The space group is I4/mmm (No. 139) and the conventional cell measures 5.3895, 5.3895 and 8.7051 Å, with angles of 90.00, 90.00 and 90.00 degrees. The inequivalent atoms are Ge at (0.0000, 0.0000, 0.1543), Pb at (0.0000, 0.0000, 0.5000) and Se at (0.0000, 0.5000, 0.2500).

The calculation puts the density of states at the Fermi level at 1.81 states/eV/f.u.

***

What are the relative energies? In meV per atom: <one> 6; <two> 0.

***

<one>
Si2GePb2: relaxed, PBE.

The space group is P4/mbm (No. 127) and the conventional cell measures 6.6556, 6.6556 and 5.3269 Å, with angles of 90.00, 90.00 and 90.00 degrees. The inequivalent atoms are Si at (0.1270, 0.3730, 0.0000), Ge at (0.0000, 0.0000, 0.0000) and Pb at (0.1946, 0.6946, 0.5000).

The calculation puts the density of states at the Fermi level at 2.40 states/eV/f.u.

***

<two>
Si2GePb2: relaxed, PBE.

The space group is I4/mmm (No. 139) and the conventional cell measures 3.5139, 3.5139 and 19.1057 Å, with angles of 90.00, 90.00 and 90.00 degrees. The inequivalent atoms are Si at (0.0000, 0.5000, 0.2500), Ge at (0.0000, 0.0000, 0.0000) and Pb at (0.0000, 0.0000, 0.3925).

The calculation puts the density of states at the Fermi level at 1.91 states/eV/f.u.

***

What are the relative energies? In meV per atom: <one> 50; <two> 0.